# 1
The following is a DFT calculation (GGA-PBE) of a geometry-optimized Ba3Pt2O8 structure.

Cell lengths 6.0133, 6.0133, 22.0057 Å; angles 90.00, 90.00, 120.00 degrees
Space group R-3m (No. 166, hexagonal axes)
Symmetry-distinct sites (fractional):
1 Ba 0.0000 0.0000 0.0000
2 Ba 0.0000 0.0000 0.2063
3 Pt 0.0000 0.0000 0.4090
4 O 0.0000 0.0000 0.3227
5 O 0.0202 0.5101 0.7697

Results
- E_form (uncorrected) (eV/atom) = -1.2313
- magnetic moment (μB/f.u.) = 0.01
- DFT total energy (eV per atom) = -5.66

=====

# 2
The following is a DFT calculation (GGA-PBE) of a geometry-optimized BaPtO structure.

Cell lengths 4.5820, 4.5820, 22.7799 Å; angles 90.00, 90.00, 120.00 degrees
Space group R3m (No. 160, hexagonal axes)
Symmetry-distinct sites (fractional):
1 Ba 0.0000 0.0000 0.0000
2 Ba 0.0000 0.0000 0.4579
3 Pt 0.0000 0.0000 0.2161
4 Pt 0.0000 0.0000 0.8759
5 O 0.0000 0.0000 0.1207
6 O 0.0000 0.0000 0.3098

Results
- E_form (uncorrected) (eV/atom) = -1.3213
- magnetic moment (μB/f.u.) = 0.00
- DFT total energy (eV per atom) = -5.63

=====

# 3
The following is a DFT calculation (GGA-PBE) of a geometry-optimized BaPtO2 structure.

Cell lengths 4.816, 4.816, 12.848 Å; angles 90.00, 90.00, 90.00 degrees
Space group I-42d (No. 122)
Symmetry-distinct sites (fractional):
1 Ba 0.000 0.000 0.000
2 Pt 0.000 0.000 0.500
3 O 0.140 0.250 0.625

Results
- E_form (uncorrected) (eV/atom) = -1.0803
- magnetic moment (μB/f.u.) = 0.00
- DFT total energy (eV per atom) = -5.55

=====

# 4
The following is a DFT calculation (GGA-PBE) of a geometry-optimized Ba2PtO3 structure.

Cell lengths 5.847, 11.959, 12.779 Å; angles 90.00, 94.01, 90.00 degrees
Space group C2/c (No. 15)
Symmetry-distinct sites (fractional):
1 Ba 0.219 0.102 0.428
2 Ba 0.226 0.201 0.851
3 Pt 0.158 0.490 0.325
4 O 0.000 0.015 0.750
5 O 0.000 0.373 0.750
6 O 0.221 0.324 0.371
7 O 0.228 0.094 0.036

Results
- E_form (uncorrected) (eV/atom) = -1.7234
- magnetic moment (μB/f.u.) = 0.00
- DFT total energy (eV per atom) = -5.85

=====

Number 1: calculated density 6.7 Mg/m³. Number 2: calculated density 8.4 Mg/m³. Number 3: calculated density 8.1 Mg/m³. Number 4: calculated density 7.7 Mg/m³.